Entry from Alexandria via LeMat-Bulk: a relaxed K3Ta crystal (GGA-PBE).

DOS(E_F) (states/eV/f.u.): 3.36
Energy relative to the lowest polymorph listed for this composition (meV/atom): 373
Calculated formation energy (eV per atom): 1.152
DFT total energy (eV per cell): -10.54
Theoretical density (Mg/m³): 3.389

abc: 14.7498 14.7498 14.7498
angles: 13.23 13.23 13.23
Fractional coordinates of all 4 atoms:
K: 0.0000 0.0000 0.0000
K: 0.2373 0.2373 0.2373
K: 0.7627 0.7627 0.7627
Ta: 0.5000 0.5000 0.5000



Entry from Alexandria via LeMat-Bulk: a relaxed KTa crystal (GGA-PBE).

DOS(E_F) (states/eV/f.u.): 2.14
Energy relative to the lowest polymorph listed for this composition (meV/atom): 564
Calculated formation energy (eV per atom): 1.306
DFT total energy (eV per cell): -10.34
Theoretical density (Mg/m³): 7.286

abc: 6.8038 6.8038 6.8038
angles: 25.18 25.18 25.18
Fractional coordinates of all 2 atoms:
K: 0.0000 0.0000 0.0000
Ta: 0.5000 0.5000 0.5000



Entry from Alexandria via LeMat-Bulk: a relaxed K4Ta3 crystal (GGA-PBE).

DOS(E_F) (states/eV/f.u.): 4.86
Calculated formation energy (eV per atom): 1.233
DFT total energy (eV per cell): -31.31
Theoretical density (Mg/m³): 5.223

abc: 5.6799 5.6799 7.9567
angles: 90.00 90.00 120.00
Fractional coordinates of all 7 atoms:
K: 0.0000 0.0000 0.2435
K: 0.0000 0.0000 0.7565
K: 0.3333 0.6667 0.0000
K: 0.6667 0.3333 0.0000
Ta: 0.0000 0.5000 0.5000
Ta: 0.5000 0.0000 0.5000
Ta: 0.5000 0.5000 0.5000



Entry from Alexandria via LeMat-Bulk: a relaxed K3Ta crystal (GGA-PBE).

DOS(E_F) (states/eV/f.u.): 4.11
Energy relative to the lowest polymorph listed for this composition (meV/atom): 509
Calculated formation energy (eV per atom): 1.288
DFT total energy (eV per cell): -9.99
Theoretical density (Mg/m³): 3.243

abc: 7.5437 7.5437 3.0560
angles: 90.00 90.00 118.59
Fractional coordinates of all 4 atoms:
K: 0.0000 0.0000 0.0000
K: 0.0000 0.5000 0.5000
K: 0.5000 0.0000 0.5000
Ta: 0.5000 0.5000 0.0000



Entry from Alexandria via LeMat-Bulk: a relaxed KTa2Tc crystal (GGA-PBE).

DOS(E_F) (states/eV/f.u.): 3.75
Energy relative to the lowest polymorph listed for this composition (meV/atom): 880
Calculated formation energy (eV per atom): 1.438
DFT total energy (eV per cell): -29.41
Theoretical density (Mg/m³): 11.030

abc: 4.7969 4.7969 3.2647
angles: 90.00 90.00 90.00
Fractional coordinates of all 4 atoms:
K: 0.0000 0.0000 0.0000
Ta: 0.0000 0.5000 0.5000
Ta: 0.5000 0.0000 0.5000
Tc: 0.5000 0.5000 0.0000



Entry from Alexandria via LeMat-Bulk: a relaxed KTaTc crystal (GGA-PBE).

DOS(E_F) (states/eV/f.u.): 1.35
Energy relative to the lowest polymorph listed for this composition (meV/atom): 0
Calculated formation energy (eV per atom): 0.674
DFT total energy (eV per cell): -21.29
Theoretical density (Mg/m³): 6.908

abc: 7.5444 7.5444 7.5444
angles: 155.03 155.03 35.61
Fractional coordinates of all 3 atoms:
K: 0.0000 0.0000 0.0000
Ta: 0.2702 0.2702 0.0000
Tc: 0.6906 0.6906 0.0000



Entry from Alexandria via LeMat-Bulk: a relaxed KTa2Tc crystal (GGA-PBE).

DOS(E_F) (states/eV/f.u.): 4.36
Energy relative to the lowest polymorph listed for this composition (meV/atom): 14
Calculated formation energy (eV per atom): 0.572
DFT total energy (eV per cell): -32.88
Theoretical density (Mg/m³): 10.053

abc: 2.9034 2.9034 10.6139
angles: 90.00 90.00 112.90
Fractional coordinates of all 4 atoms:
K: 0.0000 0.0000 0.0000
Ta: 0.0000 0.0000 0.4655
Ta: 0.5000 0.5000 0.6867
Tc: 0.5000 0.5000 0.2754



Entry from Alexandria via LeMat-Bulk: a relaxed K2TaTc crystal (GGA-PBE).

DOS(E_F) (states/eV/f.u.): 2.75
Energy relative to the lowest polymorph listed for this composition (meV/atom): 169
Calculated formation energy (eV per atom): 0.787
DFT total energy (eV per cell): -21.27
Theoretical density (Mg/m³): 5.230

abc: 3.2284 3.2284 11.9849
angles: 90.00 90.00 114.80
Fractional coordinates of all 4 atoms:
K: 0.0000 0.0000 0.0000
K: 0.5000 0.5000 0.3479
Ta: 0.5000 0.5000 0.7300
Tc: 0.0000 0.0000 0.5878



Entry from Alexandria via LeMat-Bulk: a relaxed K2TaTc crystal (GGA-PBE).

DOS(E_F) (states/eV/f.u.): 3.57
Energy relative to the lowest polymorph listed for this composition (meV/atom): 781
Calculated formation energy (eV per atom): 1.399
DFT total energy (eV per cell): -18.82
Theoretical density (Mg/m³): 6.462

abc: 12.6337 12.6337 12.6337
angles: 13.22 13.22 13.22
Fractional coordinates of all 4 atoms:
K: 0.2450 0.2450 0.2450
K: 0.7550 0.7550 0.7550
Ta: 0.0000 0.0000 0.0000
Tc: 0.5000 0.5000 0.5000



Entry from Alexandria via LeMat-Bulk: a relaxed KTa2Tc crystal (GGA-PBE).

DOS(E_F) (states/eV/f.u.): 4.01
Energy relative to the lowest polymorph listed for this composition (meV/atom): 256
Calculated formation energy (eV per atom): 0.814
DFT total energy (eV per cell): -31.91
Theoretical density (Mg/m³): 8.044

abc: 4.1994 4.1994 8.6890
angles: 92.79 92.79 42.31
Fractional coordinates of all 4 atoms:
K: 0.0000 0.0000 0.0000
Ta: 0.2277 0.2277 0.6484
Ta: 0.7723 0.7723 0.3516
Tc: 0.5000 0.5000 0.5000



Entry from Alexandria via LeMat-Bulk: a relaxed KTa2Tc crystal (GGA-PBE).

DOS(E_F) (states/eV/f.u.): 2.58
Energy relative to the lowest polymorph listed for this composition (meV/atom): 0
Calculated formation energy (eV per atom): 0.558
DFT total energy (eV per cell): -32.94
Theoretical density (Mg/m³): 9.841

abc: 2.9315 2.9315 10.7281
angles: 90.00 90.00 114.04
Fractional coordinates of all 4 atoms:
K: 0.0000 0.0000 0.0000
Ta: 0.5000 0.5000 0.3057
Ta: 0.5000 0.5000 0.6943
Tc: 0.0000 0.0000 0.5000



Entry from Alexandria via LeMat-Bulk: a relaxed KTa2Tc crystal (GGA-PBE).

DOS(E_F) (states/eV/f.u.): 3.75
Energy relative to the lowest polymorph listed for this composition (meV/atom): 99
Calculated formation energy (eV per atom): 0.658
DFT total energy (eV per cell): -32.54
Theoretical density (Mg/m³): 8.187

abc: 3.0102 4.2732 7.9475
angles: 90.00 98.11 90.00
Fractional coordinates of all 4 atoms:
K: 0.0000 0.0000 0.0000
Ta: 0.1237 0.0000 0.5311
Ta: 0.6176 0.5000 0.3656
Tc: 0.5438 0.5000 0.6572